[1]
A geometry-optimized Hg2SbIr2 structure. Source: the Alexandria database, functional PBE-GGA.

Calculated values
ρ, g/cm³: 15.23
Electronic total energy, eV for the cell shown: -41.41

```
10
Lattice="6.8610 0.0000 0.0000 0.0000 6.8610 0.0000 0.0000 0.0000 4.2028" Properties=species:S:1:pos:R:3 pbc="T T T"
Ir 2.4544 5.8849 0.0000
Ir 4.4066 0.9761 0.0000
Ir 0.9761 2.4544 0.0000
Sb 3.4305 3.4305 0.0000
Sb 0.0000 0.0000 0.0000
Hg 2.3364 1.0941 2.1014
Hg 5.7669 2.3364 2.1014
Ir 5.8849 4.4066 0.0000
Hg 1.0941 4.5246 2.1014
Hg 4.5246 5.7669 2.1014
```

[2]
A geometry-optimized HgSbIr3 structure. Source: the Alexandria database, functional PBE-GGA.

Calculated values
Relative energy among the computed polymorphs, eV/f.u.: 0.00
ρ, g/cm³: 13.01
Electronic total energy, eV for the cell shown: -23.28

```
5
Lattice="-4.7446 -0.7759 0.7084 -0.3286 -2.0164 -4.4092 0.9980 -4.3528 1.9162" Properties=species:S:1:pos:R:3 pbc="T T T"
Hg -2.0376 -3.5726 -0.8923
Ir -2.3723 -0.3880 0.3542
Ir 0.4990 -2.1764 0.9581
Sb 0.0000 0.0000 0.0000
Ir -0.1643 -1.0082 -2.2046
```

[3]
A geometry-optimized HgSb2Ir structure. Source: the Alexandria database, functional PBE-GGA.

Calculated values
ρ, g/cm³: 12.18
Electronic total energy, eV for the cell shown: -15.57

```
4
Lattice="-1.1693 -1.9265 -2.2797 -3.4836 -1.8799 3.3754 -3.3655 3.7087 -1.4079" Properties=species:S:1:pos:R:3 pbc="T T T"
Hg -2.3264 -1.9032 0.5478
Sb -3.4245 0.9144 0.9838
Ir -2.2674 0.8911 -1.8438
Sb 0.0000 0.0000 0.0000
```

[4]
A geometry-optimized HgSb2Ir2 structure. Source: the Alexandria database, functional PBE-GGA.

Calculated values
Relative energy among the computed polymorphs, eV/f.u.: 1.63
ρ, g/cm³: 12.21
Electronic total energy, eV for the cell shown: -24.91

```
5
Lattice="4.5658 0.0000 0.0000 0.0000 4.5658 0.0000 2.2829 2.2829 5.4029" Properties=species:S:1:pos:R:3 pbc="T T T"
Ir 2.2829 2.2829 1.3050
Ir 4.5658 4.5658 4.0979
Hg 0.0000 0.0000 0.0000
Sb 2.2829 4.5658 2.7015
Sb 4.5658 2.2829 2.7015
```

[5]
A geometry-optimized HgSbIr4 structure. Source: the Alexandria database, functional PBE-GGA.

Calculated values
ρ, g/cm³: 16.92
Electronic total energy, eV for the cell shown: -37.02

```
6
Lattice="-0.0948 -3.0327 4.3823 -2.6974 1.6182 4.3030 -4.4933 -2.4902 1.4210" Properties=species:S:1:pos:R:3 pbc="T T T"
Ir -4.9805 -2.7104 4.4997
Ir -2.7783 -2.9820 5.9823
Ir -4.0814 -0.6534 5.9426
Ir -2.7308 -1.4636 3.7882
Hg 0.0000 0.0000 0.0000
Sb -5.4641 -2.9285 7.5798
```

[6]
A geometry-optimized HgSb2Ir structure. Source: the Alexandria database, functional PBE-GGA.

Calculated values
ρ, g/cm³: 12.12
Electronic total energy, eV for the cell shown: -15.21

```
4
Lattice="-3.7047 -1.9006 -2.7267 0.3255 -4.6506 -1.7431 -2.9009 -3.5752 1.8909" Properties=species:S:1:pos:R:3 pbc="T T T"
Hg -3.1400 -5.0632 -1.2895
Ir -4.7100 -7.5948 -1.9343
Sb 0.0000 0.0000 0.0000
Sb -1.5700 -2.5316 -0.6448
```

[7]
A geometry-optimized HgSb2Ir structure. Source: the Alexandria database, functional PBE-GGA.

Calculated values
ρ, g/cm³: 10.90
Electronic total energy, eV for the cell shown: -17.04

```
4
Lattice="-3.6141 -3.3072 -2.3593 -1.2279 -5.1322 -1.3110 -3.8813 -2.6184 4.2769" Properties=species:S:1:pos:R:3 pbc="T T T"
Ir -5.8125 -7.5405 0.1038
Sb -2.3404 -3.0334 0.0468
Sb -4.2758 -3.3247 3.9452
Hg -4.5376 -5.3066 1.0909
```

[8]
A geometry-optimized HgSb2Ir structure. Source: the Alexandria database, functional PBE-GGA.

Calculated values
ρ, g/cm³: 12.18
Electronic total energy, eV for the cell shown: -15.43

```
4
Lattice="-3.9039 1.0650 -3.5866 -4.4179 -2.8302 1.3077 3.1665 3.2615 2.9282" Properties=species:S:1:pos:R:3 pbc="T T T"
Sb -2.7062 -0.2257 1.5483
Ir -2.4492 1.7219 -0.8989
Sb 0.0000 0.0000 0.0000
Hg -4.1609 -0.8826 -1.1394
```

[9]
A geometry-optimized HgSb2Ir structure. Source: the Alexandria database, functional PBE-GGA.

Calculated values
ρ, g/cm³: 10.37
Electronic total energy, eV for the cell shown: -17.69

```
4
Lattice="-1.5613 -3.5308 1.0563 1.0965 -3.3277 -1.9349 5.3148 -3.2919 4.4988" Properties=species:S:1:pos:R:3 pbc="T T T"
Sb 2.7892 -5.1452 2.1290
Sb 4.9506 -3.2219 4.1800
Ir 3.6375 -7.6128 2.7152
Hg 1.2125 -2.5376 0.9051
```

[10]
A geometry-optimized HgSb2TeIr structure. Source: the Alexandria database, functional PBE-GGA.

Calculated values
Relative energy among the computed polymorphs, eV/f.u.: 5.92
ρ, g/cm³: 8.07
Electronic total energy, eV for the cell shown: -12.50

```
5
Lattice="5.3681 0.0000 0.0000 0.0000 5.3681 0.0000 0.0000 0.0000 5.4551" Properties=species:S:1:pos:R:3 pbc="T T T"
Hg 0.0000 0.0000 0.0000
Ir 2.6841 2.6841 2.7276
Te 0.0000 0.0000 2.7276
Sb 0.0000 2.6841 0.0000
Sb 2.6841 0.0000 0.0000
```

[11]
A geometry-optimized HgSb2TeIr structure. Source: the Alexandria database, functional PBE-GGA.

Calculated values
Relative energy among the computed polymorphs, eV/f.u.: 0.00
ρ, g/cm³: 8.47
Electronic total energy, eV for the cell shown: -18.42

```
5
Lattice="5.0770 0.0000 0.0000 0.0000 5.0770 0.0000 0.0000 0.0000 5.8098" Properties=species:S:1:pos:R:3 pbc="T T T"
Ir 0.0000 0.0000 0.0000
Sb 0.0000 2.5385 0.0000
Sb 2.5385 0.0000 0.0000
Hg 2.5385 2.5385 2.9049
Te 0.0000 0.0000 2.9049
```

[12]
A geometry-optimized ScHg4Ir structure. Source: the Alexandria database, functional PBE-GGA.

Calculated values
Energy of formation from the pure elements, eV per atom: 0.298
ρ, g/cm³: 13.81
Electronic total energy, eV for the cell shown: -14.61

```
6
Lattice="4.2800 2.6868 2.4411 -0.9803 3.6671 4.1337 1.4619 -1.2562 5.2707" Properties=species:S:1:pos:R:3 pbc="T T T"
Sc 0.0000 0.0000 0.0000
Hg 1.2978 3.7426 6.5077
Hg 3.9223 3.2535 5.6632
Ir 3.5712 3.8233 8.8841
Hg 2.5163 1.2862 7.0750
Hg 1.7869 1.9130 4.4452
```